A geometry-optimized LaU2Se4 structure. Source: Alexandria via LeMat-Bulk, functional PBE. Values from VASP.

Results
electronic total energy = -0.268 Ha/atom
energy relative to the lowest polymorph listed for this composition = 0.000 eV per formula unit
crystal system = tetragonal
V = 171 Å³/f.u.
DOS at the Fermi energy = 24.1 states/eV/cell

```
&SYSTEM
  ibrav = 0, nat = 14, ntyp = 3
/
ATOMIC_SPECIES
U 238.03 U.upf
La 138.91 La.upf
Se 78.96 Se.upf
ATOMIC_POSITIONS crystal
U 0.2498 0.6248 0.1250
U 0.3750 0.8752 0.7502
U 0.5002 0.3752 0.6250
U 0.8750 0.1248 0.4998
La 0.0000 0.0000 0.0000
La 0.7500 0.5000 0.2500
Se 0.6166 0.7503 0.5255
Se 0.1334 0.4088 0.3837
Se 0.2755 0.2503 0.8666
Se 0.7751 0.2497 0.8663
Se 0.9749 0.5912 0.7245
Se 0.4745 0.0912 0.2249
Se 0.6163 0.7497 0.0251
Se 0.1337 0.9088 0.3834
CELL_PARAMETERS angstrom
1.7875 7.3683 -0.8633
-0.9426 -3.2145 -6.8564
-6.4718 -0.5847 4.0007
```

A geometry-optimized La3USe6 structure. Source: Alexandria via LeMat-Bulk, functional PBE. Values from VASP.

Results
electronic total energy = -0.236 Ha/atom
crystal system = orthorhombic
V = 310 Å³/f.u.
DOS at the Fermi energy = 11.3 states/eV/cell

```
&SYSTEM
  ibrav = 0, nat = 20, ntyp = 3
/
ATOMIC_SPECIES
La 138.91 La.upf
Se 78.96 Se.upf
U 238.03 U.upf
ATOMIC_POSITIONS crystal
La 0.3861 0.4014 0.5986
La 0.8861 0.5986 0.4014
La 0.9838 0.7047 0.9148
La 0.4838 0.2953 0.0852
La 0.4838 0.9148 0.7047
La 0.9838 0.0852 0.2953
Se 0.6930 0.5755 0.0964
Se 0.1815 0.3656 0.3081
Se 0.1930 0.4245 0.9036
Se 0.7507 0.9920 0.0080
Se 0.1815 0.6919 0.6344
Se 0.6815 0.3081 0.3656
Se 0.1930 0.0964 0.5755
Se 0.6930 0.9036 0.4245
Se 0.6815 0.6344 0.6919
Se 0.1364 0.7700 0.2300
Se 0.6364 0.2300 0.7700
Se 0.2507 0.0080 0.9920
U 0.4955 0.8377 0.1623
U 0.9955 0.1623 0.8377
CELL_PARAMETERS angstrom
7.3711 0.0000 0.0000
0.0000 9.2640 0.0823
0.0000 -1.9870 9.0488
```

A geometry-optimized LaU2Se4 structure. Source: Alexandria via LeMat-Bulk, functional PBE. Values from VASP.

Results
electronic total energy = -0.268 Ha/atom
energy relative to the lowest polymorph listed for this composition = 0.154 eV per formula unit
crystal system = orthorhombic
V = 191 Å³/f.u.
DOS at the Fermi energy = 23.1 states/eV/cell

```
&SYSTEM
  ibrav = 0, nat = 14, ntyp = 3
/
ATOMIC_SPECIES
Se 78.96 Se.upf
U 238.03 U.upf
La 138.91 La.upf
ATOMIC_POSITIONS crystal
Se 0.5000 0.0000 0.0000
Se 0.7742 0.5485 0.3737
Se 0.5000 0.0000 0.5000
Se 0.9462 0.8925 0.7500
Se 0.2258 0.4515 0.8737
Se 0.7742 0.5485 0.1263
Se 0.2258 0.4515 0.6263
Se 0.0538 0.1075 0.2500
U 0.8635 0.7271 0.5614
U 0.1365 0.2729 0.0614
U 0.1365 0.2729 0.4386
U 0.8635 0.7271 0.9386
La 0.3882 0.7764 0.2500
La 0.6118 0.2236 0.7500
CELL_PARAMETERS angstrom
-3.1709 1.6106 1.9258
2.6133 -4.9943 4.2327
8.4130 9.4465 5.9520
```

A geometry-optimized La6USe12 structure. Source: Alexandria via LeMat-Bulk, functional PBE. Values from VASP.

Results
electronic total energy = -0.226 Ha/atom
crystal system = trigonal
V = 595 Å³/f.u.

```
&SYSTEM
  ibrav = 0, nat = 19, ntyp = 3
/
ATOMIC_SPECIES
Se 78.96 Se.upf
La 138.91 La.upf
U 238.03 U.upf
ATOMIC_POSITIONS crystal
Se 0.6848 0.9365 0.0247
Se 0.0635 0.9753 0.3152
Se 0.9365 0.0247 0.6848
Se 0.4303 0.5836 0.1774
Se 0.4164 0.8226 0.5697
Se 0.1774 0.4303 0.5836
Se 0.9753 0.3152 0.0635
Se 0.5836 0.1774 0.4303
Se 0.3152 0.0635 0.9753
Se 0.0247 0.6848 0.9365
Se 0.8226 0.5697 0.4164
Se 0.5697 0.4164 0.8226
La 0.1418 0.6328 0.3166
La 0.8582 0.3672 0.6834
La 0.3672 0.6834 0.8582
La 0.6328 0.3166 0.1418
La 0.3166 0.1418 0.6328
La 0.6834 0.8582 0.3672
U 0.0000 0.0000 0.0000
CELL_PARAMETERS angstrom
-4.9561 -6.6767 -1.8509
6.9125 -2.2984 -4.4160
2.5769 -2.4502 7.7410
```

A geometry-optimized La2USe6 structure. Source: Alexandria via LeMat-Bulk, functional PBE. Values from VASP.

Results
electronic total energy = -0.228 Ha/atom
energy relative to the lowest polymorph listed for this composition = 0.000 eV per formula unit
crystal system = monoclinic
V = 260 Å³/f.u.

```
&SYSTEM
  ibrav = 0, nat = 18, ntyp = 3
/
ATOMIC_SPECIES
U 238.03 U.upf
Se 78.96 Se.upf
La 138.91 La.upf
ATOMIC_POSITIONS crystal
U 0.5000 0.5000 0.0000
U 0.0000 0.0000 0.5000
Se 0.1548 0.3046 0.5587
Se 0.8288 0.6686 0.0578
Se 0.3452 0.8046 0.9413
Se 0.1209 0.0324 0.2339
Se 0.3288 0.8314 0.5578
Se 0.6712 0.1686 0.4422
Se 0.6548 0.1954 0.0587
Se 0.6209 0.4676 0.7339
Se 0.1712 0.3314 0.9422
Se 0.8452 0.6954 0.4413
Se 0.3791 0.5324 0.2661
Se 0.8791 0.9676 0.7661
La 0.5333 0.8904 0.2499
La 0.4667 0.1096 0.7501
La 0.9667 0.3904 0.2501
La 0.0333 0.6096 0.7499
CELL_PARAMETERS angstrom
-5.5449 -3.9349 -0.6686
4.1885 -5.1668 -4.3285
2.0725 -4.9777 7.9472
```

A geometry-optimized LaUSe3 structure. Source: Alexandria via LeMat-Bulk, functional PBE. Values from VASP.

Results
electronic total energy = -0.240 Ha/atom
energy relative to the lowest polymorph listed for this composition = 1.910 eV per formula unit
crystal system = orthorhombic
V = 158 Å³/f.u.
DOS at the Fermi energy = 12.7 states/eV/cell

```
&SYSTEM
  ibrav = 0, nat = 10, ntyp = 3
/
ATOMIC_SPECIES
La 138.91 La.upf
Se 78.96 Se.upf
U 238.03 U.upf
ATOMIC_POSITIONS crystal
La 0.0000 0.6818 0.3637
La 0.0000 0.3182 0.6363
Se 0.5000 0.2740 0.0000
Se 0.5000 0.5000 0.5000
Se 0.0000 0.1434 0.2868
Se 0.5000 0.0000 0.5000
Se 0.0000 0.8566 0.7132
Se 0.5000 0.7260 0.0000
U 0.5000 0.8823 0.7646
U 0.5000 0.1177 0.2354
CELL_PARAMETERS angstrom
5.4342 0.0000 0.0000
0.0000 6.9074 0.0000
0.0000 -3.4537 8.4036
```

A geometry-optimized LaUSe4 structure. Source: Alexandria via LeMat-Bulk, functional PBE. Values from VASP.

Results
electronic total energy = -0.236 Ha/atom
energy relative to the lowest polymorph listed for this composition = 0.000 eV per formula unit
crystal system = monoclinic
V = 209 Å³/f.u.
DOS at the Fermi energy = 7.8 states/eV/cell

```
&SYSTEM
  ibrav = 0, nat = 12, ntyp = 3
/
ATOMIC_SPECIES
Se 78.96 Se.upf
La 138.91 La.upf
U 238.03 U.upf
ATOMIC_POSITIONS crystal
Se 0.3244 0.7897 0.0615
Se 0.0485 0.5632 0.8399
Se 0.8244 0.2897 0.5615
Se 0.5484 0.0632 0.3399
Se 0.1756 0.7103 0.4385
Se 0.4516 0.9368 0.6601
Se 0.6756 0.2103 0.9385
Se 0.9515 0.4368 0.1601
La 0.7500 0.7500 0.2500
La 0.2500 0.2500 0.7500
U 0.5000 0.5000 0.0000
U 0.0000 0.0000 0.5000
CELL_PARAMETERS angstrom
4.2183 0.0000 0.7849
1.9336 8.7722 1.3359
0.0711 0.0882 11.3455
```

A geometry-optimized La2USe4 structure. Source: Alexandria via LeMat-Bulk, functional PBE. Values from VASP.

Results
electronic total energy = -0.246 Ha/atom
energy relative to the lowest polymorph listed for this composition = 0.000 eV per formula unit
crystal system = tetragonal
V = 180 Å³/f.u.
DOS at the Fermi energy = 16.6 states/eV/cell

```
&SYSTEM
  ibrav = 0, nat = 14, ntyp = 3
/
ATOMIC_SPECIES
Se 78.96 Se.upf
U 238.03 U.upf
La 138.91 La.upf
ATOMIC_POSITIONS crystal
Se 0.8823 0.7808 0.2505
Se 0.5303 0.6318 0.7495
Se 0.0308 0.6323 0.7505
Se 0.3682 0.1177 0.8985
Se 0.7197 0.9692 0.6015
Se 0.8818 0.2803 0.2495
Se 0.2192 0.4697 0.1015
Se 0.3677 0.1182 0.3985
U 0.2500 0.7500 0.5000
U 0.0000 0.0000 0.0000
La 0.7513 0.3750 0.8763
La 0.4987 0.8750 0.1237
La 0.6250 0.5013 0.3763
La 0.1250 0.2487 0.6237
CELL_PARAMETERS angstrom
-4.4913 4.4913 4.4625
4.4913 -4.4913 4.4625
4.4913 4.4913 -4.4625
```

A geometry-optimized La2U3Se8 structure. Source: Alexandria via LeMat-Bulk, functional PBE. Values from VASP.

Results
electronic total energy = -0.255 Ha/atom
energy relative to the lowest polymorph listed for this composition = 0.044 eV per formula unit
crystal system = monoclinic
V = 414 Å³/f.u.
DOS at the Fermi energy = 16.5 states/eV/cell

```
&SYSTEM
  ibrav = 0, nat = 13, ntyp = 3
/
ATOMIC_SPECIES
U 238.03 U.upf
Se 78.96 Se.upf
La 138.91 La.upf
ATOMIC_POSITIONS crystal
U 0.5000 0.0000 0.0000
U 0.0000 0.7440 0.0000
U 0.0000 0.2560 0.0000
Se 0.9255 0.6153 0.2307
Se 0.4117 0.8870 0.2420
Se 0.5883 0.1130 0.7580
Se 0.0745 0.3847 0.7693
Se 0.4117 0.3550 0.2420
Se 0.5883 0.6450 0.7580
Se 0.9162 0.1147 0.2293
Se 0.0838 0.8853 0.7707
La 0.6657 0.7387 0.4774
La 0.3343 0.2613 0.5226
CELL_PARAMETERS angstrom
6.9882 0.0000 0.1907
0.0000 8.3240 0.0000
-2.6020 -4.1620 7.0476
```

Energy relative to the elements, uncorrected: -1.382; -1.719; -1.360; -1.797; -1.536; -1.208; -1.407; -1.689; -1.426 (eV/atom)